{
  "formula": "BaCePu4N8",
  "functional": "PBE",
  "state": "relaxed",
  "vol_a3_per_fu": 242,
  "e_form_raw_mev_per_atom": -999,
  "lattice_angstrom": [[3.473, 2.005, 5.791], [-3.473, 2.005, 5.791], [0.000, -4.011, 5.791]],
  "species": ["Ba", "Ce", "Pu", "Pu", "Pu", "Pu", "N", "N", "N", "N", "N", "N", "N", "N"],
  "frac_coords": [[0.000, 0.000, 0.000], [0.374, 0.374, 0.374], [0.374, 0.374, 0.878], [0.374, 0.878, 0.374], [0.753, 0.753, 0.753], [0.878, 0.374, 0.374], [0.142, 0.142, 0.544], [0.142, 0.544, 0.142], [0.152, 0.152, 0.152], [0.163, 0.618, 0.618], [0.544, 0.142, 0.142], [0.612, 0.612, 0.612], [0.618, 0.163, 0.618], [0.618, 0.618, 0.163]]
}